Here is Ca2AlBr after structural relaxation from Alexandria via LeMat-Bulk. Energies are from PBEsol.

POSCAR file:
```
Ca2AlBr
1.0
7.942 0.000 0.000
0.000 7.942 0.000
0.000 0.000 7.786
Ca Al Br
8 4 4
Direct
0.234 0.250 0.125 Ca
0.250 0.734 0.375 Ca
0.250 0.766 0.875 Ca
0.266 0.250 0.625 Ca
0.734 0.750 0.625 Ca
0.750 0.234 0.875 Ca
0.750 0.266 0.375 Ca
0.766 0.750 0.125 Ca
0.000 0.000 0.500 Al
0.000 0.500 0.750 Al
0.500 0.000 0.250 Al
0.500 0.500 0.000 Al
0.000 0.000 0.000 Br
0.000 0.500 0.250 Br
0.500 0.000 0.750 Br
0.500 0.500 0.500 Br
```

Summary:
- ΔE to the lowest computed polymorph (meV per atom) = 10
- ρ (kg/m³) = 2530
- size of the total moment (μB per formula unit) = 0.000
- electronic total energy (eV for the cell shown) = -48.45